Entry 1:
Material: Mg6Pb
Method: DFT, GGA-PBE
State: relaxed

Cell lengths 5.9328, 5.9328, 10.1065 Å; angles 90.00, 90.00, 90.00 degrees
Closest atoms and distances in Å follow each position.
Positions (direct):
Mg (0.8263, 0.6737, 0.3644)  8 Mg 2.92-3.11
Mg (0.6737, 0.8263, 0.6355)  8 Mg 2.92-3.11
Mg (0.3263, 0.1737, 0.6355)  8 Mg 2.92-3.11
Mg (0.0000, 0.0000, 0.8540)  5 Mg 2.95-3.11
Pb (0.5000, 0.0000, 0.0000)  8 Mg 3.31
Mg (0.5000, 0.5000, 0.1460)  5 Mg 2.95-3.11
Mg (0.1737, 0.3263, 0.3644)  8 Mg 2.92-3.11
Mg (0.5000, 0.5000, 0.8540)  5 Mg 2.95-3.11
Pb (0.0000, 0.5000, 0.0000)  8 Mg 3.31
Mg (0.8263, 0.3263, 0.6355)  8 Mg 2.92-3.11
Mg (0.6737, 0.1737, 0.3644)  8 Mg 2.92-3.11
Mg (0.3263, 0.8263, 0.3644)  8 Mg 2.92-3.11
Mg (0.1737, 0.6737, 0.6355)  8 Mg 2.92-3.11
Mg (0.0000, 0.0000, 0.1460)  5 Mg 2.95-3.11

Values from the calculation:
ΔE_f, meV per atom: 113
E above lowest polymorph, meV per atom: 0

=====

Entry 2:
Material: Mg2Pb3
Method: DFT, GGA-PBE
State: relaxed

Cell lengths 13.6734, 11.3223, 7.9961 Å; angles 88.36, 55.86, 35.77 degrees
Closest atoms and distances in Å follow each position.
Positions (direct):
Pb (0.8145, 0.8879, 0.3601)  4 Mg 3.08-3.34, 2 Pb 3.22
Pb (0.9375, 0.3601, 0.8879)  4 Mg 3.08-3.34, 2 Pb 3.22
Pb (0.3621, 0.4355, 0.3125)  4 Mg 3.08-3.34, 2 Pb 3.22
Mg (0.8912, 0.6850, 0.9571)  6 Pb 3.08-3.34, 4 Mg 3.22-3.34
Pb (0.1401, 0.3599, 0.3599)  4 Pb 3.22-3.52, 4 Mg 3.22-3.34
Mg (0.5650, 0.3588, 0.7834)  6 Pb 3.08-3.34, 4 Mg 3.22-3.34
Mg (0.4666, 0.9571, 0.6850)  6 Pb 3.08-3.34, 4 Mg 3.22-3.34
Pb (0.8899, 0.3125, 0.4355)  4 Mg 3.08-3.34, 2 Pb 3.22
Mg (0.2929, 0.7834, 0.3588)  6 Pb 3.08-3.34, 4 Mg 3.22-3.34
Pb (0.8901, 0.1099, 0.1099)  4 Pb 3.22-3.52, 4 Mg 3.22-3.34

Values from the calculation:
ΔE_f, meV per atom: -24
E above lowest polymorph, meV per atom: 22

=====

Entry 3:
Material: MgPb2
Method: DFT, GGA-PBE
State: relaxed

Cell lengths 3.5205, 3.5205, 15.8904 Å; angles 90.00, 90.00, 120.00 degrees
Closest atoms and distances in Å follow each position.
Positions (direct):
Pb (0.3333, 0.6667, 0.1854)  3 Mg 3.22, 9 Pb 3.52-3.58
Mg (0.0000, 0.0000, 0.6573)  6 Pb 3.22, 6 Mg 3.52
Pb (0.3333, 0.6667, 0.5000)  6 Mg 3.22, 6 Pb 3.52
Pb (0.3333, 0.6667, 0.8146)  3 Mg 3.22, 9 Pb 3.52-3.58
Mg (0.0000, 0.0000, 0.3427)  6 Pb 3.22, 6 Mg 3.52
Pb (0.0000, 0.0000, 0.0000)  12 Pb 3.52-3.58

Values from the calculation:
ΔE_f, meV per atom: -8
E above lowest polymorph, meV per atom: 26

=====

> What is the formula in the first record?

Mg6Pb

=====

> What is the E above lowest polymorph in the second record?

22 meV per atom

=====

> The highest ΔE_f belongs to which entry?

Mg6Pb

=====

> Look up the ΔE_f of the second one.

-24 meV per atom